No. 1
The following is a PBE-GGA calculation of TbYEr2P4 after structural relaxation, from Alexandria via LeMat-Bulk.

Cell: 6.9177 3.9959 6.9184 Å, 90.00 109.46 90.00°
Last column: nearest neighbours and their distance in Å.
Fractional positions:
Tb 0.0000 0.0000 0.0000  6 P 2.84
Y 0.0000 0.5000 0.5000  6 P 2.84
Er 0.5000 0.0000 0.5000  6 P 2.81
Er 0.5000 0.5000 0.0000  6 P 2.81
P 0.2532 0.0000 0.7508  3 Er 2.81, 2 Y 2.84, 1 Tb 2.84
P 0.2535 0.5000 0.2514  3 Er 2.81, 1 Y 2.84, 2 Tb 2.84
P 0.7465 0.5000 0.7486  3 Er 2.81, 1 Y 2.84, 2 Tb 2.84
P 0.7468 0.0000 0.2492  3 Er 2.81, 2 Y 2.84, 1 Tb 2.84

Values from the calculation:
Symmetry = No. 10
E_form = -12.93 eV per formula unit
Crystal system = monoclinic
Total moment = 0.00 μB/f.u.
D(E_F) = 0.12 states/eV/atom

***

No. 2
The following is a PBE-GGA calculation of TbY2ErP4 after structural relaxation, from Alexandria via LeMat-Bulk.

Cell: 6.9378 4.0073 6.9383 Å, 90.00 109.46 90.00°
Last column: nearest neighbours and their distance in Å.
Fractional positions:
Tb 0.0000 0.0000 0.0000  6 P 2.83-2.84
Y 0.0000 0.5000 0.5000  6 P 2.84
Y 0.5000 0.0000 0.5000  6 P 2.83
Er 0.5000 0.5000 0.0000  6 P 2.82
P 0.2514 0.5000 0.2495  1 Er 2.82, 3 Y 2.83-2.84, 2 Tb 2.84
P 0.2523 0.0000 0.7519  2 Er 2.82, 3 Y 2.83-2.84, 1 Tb 2.83
P 0.7477 0.0000 0.2481  2 Er 2.82, 3 Y 2.83-2.84, 1 Tb 2.83
P 0.7486 0.5000 0.7505  1 Er 2.82, 3 Y 2.83-2.84, 2 Tb 2.84

Values from the calculation:
Symmetry = No. 10
E_form = -12.96 eV per formula unit
Crystal system = monoclinic
Total moment = 0.00 μB/f.u.
D(E_F) = 0.12 states/eV/atom

***

No. 3
The following is a PBE-GGA calculation of TbEr2ZrP4 after structural relaxation, from Alexandria via LeMat-Bulk.

Cell: 6.7800 3.9128 6.7858 Å, 90.00 109.28 90.00°
Last column: nearest neighbours and their distance in Å.
Fractional positions:
Tb 0.0000 0.0000 0.0000  6 P 2.78-2.79
Er 0.5000 0.0000 0.5000  6 P 2.75-2.76
Er 0.5000 0.5000 0.0000  6 P 2.82
Zr 0.0000 0.5000 0.5000  6 P 2.71-2.72
P 0.2425 0.0000 0.7399  2 Zr 2.72, 3 Er 2.75-2.82, 1 Tb 2.78
P 0.2477 0.5000 0.2575  1 Zr 2.71, 3 Er 2.76-2.82, 2 Tb 2.79
P 0.7523 0.5000 0.7425  1 Zr 2.71, 3 Er 2.76-2.82, 2 Tb 2.79
P 0.7575 0.0000 0.2601  2 Zr 2.72, 3 Er 2.75-2.82, 1 Tb 2.78

Values from the calculation:
Symmetry = No. 10
E_form = -12.38 eV per formula unit
Crystal system = monoclinic
Total moment = 0.00 μB/f.u.
D(E_F) = 0.19 states/eV/atom

***

Number 1: VASP energy -6.85 eV per atom. Number 2: VASP energy -7.09 eV per atom. Number 3: VASP energy -7.04 eV per atom.